# 1
An optimized crystal structure of BaBi2B4O10. Source: Alexandria, functional GGA-PBEsol.

Lattice parameters (Å, degrees): 10.202 6.382 12.302 90.00 103.49 90.00
Space group P2_1/c (No. 14)
One atom of each set of equivalent atoms:
1 Ba 0.128 0.095 0.375 [4 per cell]
2 Bi 0.273 0.646 0.627 [4 per cell]
3 Bi 0.480 0.181 0.615 [4 per cell]
4 B 0.006 0.111 0.103 [4 per cell]
5 B 0.198 0.126 0.659 [4 per cell]
6 B 0.218 0.588 0.332 [4 per cell]
7 B 0.391 0.200 0.833 [4 per cell]
8 O 0.055 0.581 0.638 [4 per cell]
9 O 0.089 0.233 0.576 [4 per cell]
10 O 0.128 0.667 0.404 [4 per cell]
11 O 0.134 0.005 0.732 [4 per cell]
12 O 0.273 0.505 0.095 [4 per cell]
13 O 0.289 0.723 0.803 [4 per cell]
14 O 0.291 0.216 0.227 [4 per cell]
15 O 0.315 0.063 0.894 [4 per cell]
16 O 0.444 0.129 0.410 [4 per cell]
17 O 0.497 0.086 0.794 [4 per cell]

Summary:
* DOS(E_F): 0.000 states/eV/cell
* uncorrected energy: -7.639 eV/atom
* E_form (uncorrected): -2.270 eV/atom



# 2
An optimized crystal structure of LiNb2Ag. Source: Alexandria, functional GGA-PBEsol.

Lattice parameters (Å, degrees): 7.401 7.401 5.014 90.00 90.00 90.00
Space group I-42d (No. 122)
One atom of each set of equivalent atoms:
1 Li 0.000 0.000 0.000 [4 per cell]
2 Nb 0.242 0.750 0.125 [8 per cell]
3 Ag 0.000 0.000 0.500 [4 per cell]

Summary:
* DOS(E_F): 12.834 states/eV/cell
* formation enthalpy at 0 K: 696 meV/atom
* uncorrected energy: -6.034 eV/atom



# 3
An optimized crystal structure of KNaLi2In. Source: Alexandria, functional GGA-PBEsol.

Lattice parameters (Å, degrees): 5.530 5.530 5.710 90.00 90.00 90.00
Space group P4/mmm (No. 123)
One atom of each set of equivalent atoms:
1 K 0.000 0.000 0.000 [1 per cell]
2 Na 0.500 0.500 0.500 [1 per cell]
3 Li 0.000 0.500 0.500 [2 per cell]
4 In 0.500 0.500 0.000 [1 per cell]

Summary:
* DOS(E_F): 3.179 states/eV/cell
* formation enthalpy at 0 K: 256 meV/atom
* uncorrected energy: -1.634 eV/atom



# 4
An optimized crystal structure of Ta3CoS6. Source: Alexandria, functional GGA-PBEsol.

Lattice parameters (Å, degrees): 5.6660 5.6660 11.4778 90.00 90.00 120.00
Space group P6_322 (No. 182)
One atom of each set of equivalent atoms:
1 Ta 0.0000 0.0000 0.0000 [2 per cell]
2 Ta 0.3333 0.6667 0.0038 [4 per cell]
3 Co 0.3333 0.6667 0.7500 [2 per cell]
4 S 0.0015 0.3335 0.6372 [12 per cell]

Summary:
* DOS(E_F): 9.236 states/eV/cell
* uncorrected energy: -8.255 eV/atom
* E_form (uncorrected): -1.085 eV/atom